[1]
The following is a DFT calculation (PBE) of crystalline Er4NiBi at its relaxed geometry.

Structure (CIF):
```
data_Er4NiBi
_space_group_name_H-M_alt 'P 1 21/m 1'
_space_group_IT_number 11
_cell_length_a 5.057
_cell_length_b 8.524
_cell_length_c 8.240
_cell_angle_alpha 90.00
_cell_angle_beta 107.82
_cell_angle_gamma 90.00
loop_
_space_group_symop_operation_xyz
'x,y,z'
'-x,-y,-z'
'-x,y+1/2,-z'
'x,-y+1/2,z'
loop_
_atom_site_label
_atom_site_type_symbol
_atom_site_fract_x
_atom_site_fract_y
_atom_site_fract_z
Er1 Er 0.088 0.250 0.175
Er2 Er 0.150 0.750 0.300
Er3 Er 0.327 0.527 0.653
Ni1 Ni 0.252 0.250 0.500
Bi1 Bi 0.477 0.250 0.954
```

## Properties
Volume = 28.177 A^3/atom
Electronic total energy = -4.91 eV per atom
E above lowest polymorph = 0.178 eV/atom
Energy of formation from the pure elements = -0.253 eV per atom

[2]
The following is a DFT calculation (PBE) of crystalline NaCoBr3 at its relaxed geometry.

Structure (CIF):
```
data_NaCoBr3
_space_group_name_H-M_alt 'P m -3 m'
_space_group_IT_number 221
_space_group_name_Hall '-P 4 2 3'
_cell_length_a 5.351
_cell_length_b 5.351
_cell_length_c 5.351
_cell_angle_alpha 90.00
_cell_angle_beta 90.00
_cell_angle_gamma 90.00
loop_
_atom_site_label
_atom_site_type_symbol
_atom_site_fract_x
_atom_site_fract_y
_atom_site_fract_z
Na1 Na 0.000 0.000 0.000
Co1 Co 0.500 0.500 0.500
Br1 Br 0.000 0.000 0.500
```

## Properties
Volume = 30.638 A^3/atom
Electronic total energy = -2.43 eV per atom
E_form (uncorrected) = 262 meV/atom
E above lowest polymorph = 1.043 eV/atom

[3]
The following is a DFT calculation (PBE) of crystalline SrMnCd at its relaxed geometry.

Structure (CIF):
```
data_SrMnCd
_space_group_name_H-M_alt 'P -6 m 2'
_space_group_IT_number 187
_space_group_name_Hall 'P -6 2'
_cell_length_a 4.8892
_cell_length_b 4.8892
_cell_length_c 4.1468
_cell_angle_alpha 90.00
_cell_angle_beta 90.00
_cell_angle_gamma 120.00
loop_
_atom_site_label
_atom_site_type_symbol
_atom_site_fract_x
_atom_site_fract_y
_atom_site_fract_z
Sr1 Sr 0.0000 0.0000 0.0000
Mn1 Mn 0.3333 0.6667 0.5000
Cd1 Cd 0.6667 0.3333 0.5000
```

## Properties
Volume = 28.615 A^3/atom
Electronic total energy = -3.71 eV per atom
E above lowest polymorph = 0.000 eV/atom
Energy of formation from the pure elements = 0.211 eV per atom

[4]
The following is a DFT calculation (PBE) of crystalline Ag4PdAu3 at its relaxed geometry.

Structure (CIF):
```
data_Ag4PdAu3
_space_group_name_H-M_alt 'C 1 2/m 1'
_space_group_IT_number 12
_cell_length_a 20.000
_cell_length_b 2.868
_cell_length_c 5.063
_cell_angle_alpha 90.00
_cell_angle_beta 104.53
_cell_angle_gamma 90.00
loop_
_space_group_symop_operation_xyz
'x,y,z'
'-x,-y,-z'
'-x,y,-z'
'x,-y,z'
'x+1/2,y+1/2,z'
'-x+1/2,-y+1/2,-z'
'-x+1/2,y+1/2,-z'
'x+1/2,-y+1/2,z'
loop_
_atom_site_label
_atom_site_type_symbol
_atom_site_fract_x
_atom_site_fract_y
_atom_site_fract_z
Ag1 Ag 0.122 0.000 0.456
Ag2 Ag 0.124 0.500 0.953
Pd1 Pd 0.000 0.500 0.500
Au1 Au 0.000 0.000 0.000
Au2 Au 0.250 0.000 0.251
```

## Properties
Volume = 17.570 A^3/atom
Electronic total energy = -3.34 eV per atom
E above lowest polymorph = 0.000 eV/atom
Energy of formation from the pure elements = -0.040 eV per atom

[5]
The following is a DFT calculation (PBE) of crystalline RbFe2Cl at its relaxed geometry.

Structure (CIF):
```
data_RbFe2Cl
_space_group_name_H-M_alt 'F m -3 m'
_space_group_IT_number 225
_space_group_name_Hall '-F 4 2 3'
_cell_length_a 7.615
_cell_length_b 7.615
_cell_length_c 7.615
_cell_angle_alpha 90.00
_cell_angle_beta 90.00
_cell_angle_gamma 90.00
loop_
_atom_site_label
_atom_site_type_symbol
_atom_site_fract_x
_atom_site_fract_y
_atom_site_fract_z
Rb1 Rb 0.000 0.000 0.000
Fe1 Fe 0.250 0.250 0.250
Cl1 Cl 0.000 0.000 0.500
```

## Properties
Volume = 27.597 A^3/atom
Electronic total energy = -3.60 eV per atom
E_form (uncorrected) = 1330 meV/atom
E above lowest polymorph = 0.766 eV/atom

[6]
The following is a DFT calculation (PBE) of crystalline Y5Re2O12 at its relaxed geometry.

Structure (CIF):
```
data_Y5Re2O12
_space_group_name_H-M_alt 'C 1 2/m 1'
_space_group_IT_number 12
_cell_length_a 12.504
_cell_length_b 5.681
_cell_length_c 7.573
_cell_angle_alpha 90.00
_cell_angle_beta 107.89
_cell_angle_gamma 90.00
loop_
_space_group_symop_operation_xyz
'x,y,z'
'-x,-y,-z'
'-x,y,-z'
'x,-y,z'
'x+1/2,y+1/2,z'
'-x+1/2,-y+1/2,-z'
'-x+1/2,y+1/2,-z'
'x+1/2,-y+1/2,z'
loop_
_atom_site_label
_atom_site_type_symbol
_atom_site_fract_x
_atom_site_fract_y
_atom_site_fract_z
Y1 Y 0.000 0.000 0.000
Y2 Y 0.186 0.500 0.325
Y3 Y 0.196 0.500 0.858
Re1 Re 0.000 0.214 0.500
O1 O 0.001 0.000 0.294
O2 O 0.001 0.500 0.677
O3 O 0.154 0.252 0.074
O4 O 0.165 0.252 0.584
```

## Properties
Volume = 13.472 A^3/atom
Electronic total energy = -9.03 eV per atom
E_form (uncorrected) = -2888 meV/atom

- What is the electronic total energy in the second record?
  -2.43 eV per atom